# 1
# KPmCdHg

KPmCdHg after structural relaxation (PBE-GGA, the Alexandria database).

Unit cell a=5.5395 b=5.5395 c=5.5395 alpha=60.00 beta=60.00 gamma=60.00
Last column: nearest neighbours and their distance in Å.
Sites, in units of the cell vectors:
K: 0.0000 0.0000 0.0000  4 Hg 3.39, 4 Cd 3.39
Pm: 0.5000 0.5000 0.5000  4 Cd 3.39, 4 Hg 3.39
Cd: 0.2500 0.2500 0.2500  4 K 3.39, 4 Pm 3.39
Hg: 0.7500 0.7500 0.7500  4 K 3.39, 4 Pm 3.39

Output
The calculation puts the formation energy at -0.35 eV/f.u. The value obtained for the calculated volume is 30.05 A^3/atom. Its final energy is -1.85 eV/atom. The value obtained for the calculated density is 6868 kg/m3.

# 2
# Tm7Pd2Au2

Tm7Pd2Au2 after structural relaxation (PBE-GGA, the Alexandria database).

Unit cell a=6.6037 b=6.6037 c=7.0465 alpha=90.00 beta=90.00 gamma=107.46
Last column: nearest neighbours and their distance in Å.
Sites, in units of the cell vectors:
Tm: 0.0000 0.0000 0.0000  2 Pd 3.05
Tm: 0.0000 0.5000 0.2635  2 Pd 2.72
Tm: 0.0000 0.5000 0.7365  2 Pd 2.72
Tm: 0.5000 0.0000 0.2635  2 Pd 2.72
Tm: 0.5000 0.0000 0.7365  2 Pd 2.72
Tm: 0.5000 0.5000 0.2573  2 Pd 2.90, 2 Au 2.92
Tm: 0.5000 0.5000 0.7427  2 Pd 2.90, 2 Au 2.92
Pd: 0.2869 0.7131 0.0000  6 Tm 2.72-2.90
Pd: 0.7131 0.2869 0.0000  6 Tm 2.72-2.90
Au: 0.1973 0.1973 0.5000  6 Tm 2.92-3.17, 1 Au 3.08
Au: 0.8027 0.8027 0.5000  6 Tm 2.92-3.17, 1 Au 3.08

Output
The calculation puts the formation energy at -5.13 eV/f.u. The value obtained for the calculated volume is 26.65 A^3/atom. Its final energy is -4.85 eV/atom. The value obtained for the calculated density is 10136 kg/m3.

# 3
# HfMg2Zr2

HfMg2Zr2 after structural relaxation (PBE-GGA, the Alexandria database).

Unit cell a=11.5281 b=11.5281 c=11.5281 alpha=164.19 beta=164.19 gamma=22.43
Last column: nearest neighbours and their distance in Å.
Sites, in units of the cell vectors:
Hf: 0.0000 0.0000 0.0000  8 Zr 3.15, 4 Hf 3.17
Mg: 0.2011 0.2011 0.0000  8 Mg 3.15-3.17, 4 Zr 3.24
Mg: 0.7989 0.7989 0.0000  8 Mg 3.15-3.17, 4 Zr 3.24
Zr: 0.4023 0.4023 0.0000  4 Hf 3.15, 4 Zr 3.17, 4 Mg 3.24
Zr: 0.5977 0.5977 0.0000  4 Hf 3.15, 4 Zr 3.17, 4 Mg 3.24

Output
The calculation puts the formation energy at -0.15 eV/f.u. The value obtained for the calculated volume is 22.73 A^3/atom. Its final energy is -6.08 eV/atom. The value obtained for the calculated density is 5983 kg/m3.

# 4
# Sr2InCu

Sr2InCu after structural relaxation (PBE-GGA, the Alexandria database).

Unit cell a=7.1597 b=7.1597 c=7.1597 alpha=104.91 beta=104.91 gamma=119.04
Last column: nearest neighbours and their distance in Å.
Sites, in units of the cell vectors:
Sr: 0.0829 0.6250 0.9579  2 Cu 2.98
Sr: 0.3750 0.3329 0.4579  2 Cu 2.98
Sr: 0.6671 0.1250 0.0421  2 Cu 2.98
Sr: 0.8750 0.9171 0.5421  2 Cu 2.98
In: 0.2500 0.7500 0.5000  4 Sr 3.48, 2 Cu 3.63
In: 0.5000 0.5000 0.0000  4 Sr 3.48, 2 Cu 3.63
Cu: 0.0000 0.0000 0.0000  4 Sr 2.98
Cu: 0.7500 0.2500 0.5000  4 Sr 2.98

Output
The calculation puts the formation energy at 0.32 eV/f.u. The value obtained for the calculated volume is 34.57 A^3/atom. Its final energy is -2.47 eV/atom. The value obtained for the calculated density is 4247 kg/m3.

# 5
# La2MgTl

La2MgTl after structural relaxation (PBE-GGA, the Alexandria database).

Unit cell a=7.1696 b=7.1696 c=7.1696 alpha=101.72 beta=101.72 gamma=126.43
Last column: nearest neighbours and their distance in Å.
Sites, in units of the cell vectors:
La: 0.1163 0.6250 0.9913  2 La 3.23, 2 Tl 3.25, 2 Mg 3.35
La: 0.3750 0.3663 0.4913  2 La 3.23, 2 Tl 3.25, 2 Mg 3.35
La: 0.6337 0.1250 0.0087  2 La 3.23, 2 Tl 3.25, 2 Mg 3.35
La: 0.8750 0.8837 0.5087  2 La 3.23, 2 Tl 3.25, 2 Mg 3.35
Mg: 0.2500 0.7500 0.5000  2 Tl 3.23, 4 La 3.35
Mg: 0.5000 0.5000 0.0000  2 Tl 3.23, 4 La 3.35
Tl: 0.0000 0.0000 0.0000  2 Mg 3.23, 4 La 3.25
Tl: 0.7500 0.2500 0.5000  2 Mg 3.23, 4 La 3.25

Output
The calculation puts the formation energy at 0.22 eV/f.u. The value obtained for the calculated volume is 33.09 A^3/atom. Its final energy is -3.40 eV/atom. The value obtained for the calculated density is 6355 kg/m3.

# 6
# Mn2OsPt

Mn2OsPt after structural relaxation (PBE-GGA, the Alexandria database).

Unit cell a=2.7049 b=2.7049 c=8.5503 alpha=90.00 beta=90.00 gamma=113.24
Last column: nearest neighbours and their distance in Å.
Sites, in units of the cell vectors:
Mn: 0.0000 0.0000 0.2448  2 Os 2.57, 2 Pt 2.64, 4 Mn 2.70
Mn: 0.0000 0.0000 0.7552  2 Os 2.57, 2 Pt 2.64, 4 Mn 2.70
Os: 0.5000 0.5000 0.0000  4 Mn 2.57, 4 Os 2.70
Pt: 0.5000 0.5000 0.5000  4 Mn 2.64, 4 Pt 2.70

Output
The calculation puts the formation energy at 0.45 eV/f.u. The value obtained for the calculated volume is 14.37 A^3/atom. Its final energy is -8.79 eV/atom. The value obtained for the calculated density is 14305 kg/m3.